The following is a DFT calculation (PBE) of crystalline Cs2Np2UTe6 at its relaxed geometry.

The structure in POSCAR format:
```
Cs2Np2UTe6
1.0
-5.737 3.134 4.213
-0.873 -0.924 -7.673
-1.299 -9.088 2.571
Cs Np U Te
2 2 1 6
direct
0.833 0.167 0.000
0.167 0.833 0.000
0.333 0.667 0.500
0.667 0.333 0.500
0.000 0.000 0.500
0.732 0.732 0.688
0.065 0.393 0.689
0.268 0.268 0.312
0.393 0.065 0.689
0.935 0.607 0.311
0.607 0.935 0.311
```

Summary:
- Density of states at the Fermi level: 2.13 states/eV per atom
- Space-group type: No. 12
- Size of the total moment: 0.909 μB/atom
- ΔE_f (raw): -0.842 eV/atom